DFT (PBE-GGA) results for a relaxed Rb2LiZrCl6 crystal.

## Properties
V (Å³ per cell): 560.7
M_tot (μB per formula unit): 1.0
Energy relative to the elements, uncorrected (eV/atom): -1.825

POSCAR file:
```
Rb2LiZrCl6
1.0
-6.244 1.767 -3.407
-6.153 0.924 3.873
-1.544 12.594 1.479
Rb Li Zr Cl
4 2 2 12
Cartesian
-11.422 7.098 0.964
-2.519 8.187 0.980
-10.139 12.894 1.620
-3.802 2.390 0.324
-7.650 4.573 0.625
-6.291 10.712 1.320
0.000 0.000 0.000
-6.970 7.642 0.972
-8.323 6.611 -0.932
-8.279 6.199 2.622
-5.275 5.748 0.732
-5.617 8.674 2.876
-5.661 9.086 -0.678
-8.666 9.537 1.213
-7.058 12.498 -0.326
-7.013 12.072 3.348
-3.908 11.606 1.394
-6.883 2.787 2.270
-6.928 3.212 -1.403
-10.033 3.678 0.551
```